Record 1
CdGa2Br8: relaxed, PBE-GGA.

a = 8.079 Å, b = 8.079 Å, c = 6.518 Å
α = 92.53°, β = 92.53°, γ = 85.37°
Fractional coordinates of all 11 atoms:
Br 0.722 0.061 0.241
Br 0.061 0.722 0.241
Br 0.600 0.600 0.249
Br 0.207 0.207 0.266
Br 0.793 0.793 0.734
Br 0.400 0.400 0.751
Br 0.939 0.278 0.759
Br 0.278 0.939 0.759
Cd 0.000 0.000 0.000
Ga 0.786 0.786 0.368
Ga 0.214 0.214 0.632

Values from the calculation:
calculated total energy = -0.098 Ha/atom



Record 2
ZrFeSiPd: relaxed, PBE-GGA.

a = 4.403 Å, b = 4.403 Å, c = 4.403 Å
α = 60.00°, β = 60.00°, γ = 60.00°
Fractional coordinates of all 4 atoms:
Fe 0.750 0.750 0.750
Pd 0.250 0.250 0.250
Si 0.000 0.000 0.000
Zr 0.500 0.500 0.500

Values from the calculation:
energy above the lowest structure with this stoichiometry = 0.00 eV per formula unit
total magnetic moment = 1.7 μB per cell



Record 3
ScIn2CuCl6: relaxed, PBE-GGA.

a = 7.051 Å, b = 7.051 Å, c = 7.051 Å
α = 60.00°, β = 60.00°, γ = 60.00°
Fractional coordinates of all 10 atoms:
Cl 0.751 0.249 0.249
Cl 0.249 0.751 0.249
Cl 0.751 0.751 0.249
Cl 0.249 0.249 0.751
Cl 0.751 0.249 0.751
Cl 0.249 0.751 0.751
Cu 0.500 0.500 0.500
In 0.250 0.250 0.250
In 0.750 0.750 0.750
Sc 0.000 0.000 0.000

Values from the calculation:
total magnetic moment = 0.0 μB per cell
calculated total energy = -0.142 Ha/atom



Record 4
Gd2SiMo2C2: relaxed, PBE-GGA.

a = 7.163 Å, b = 7.163 Å, c = 5.838 Å
α = 113.13°, β = 113.13°, γ = 26.85°
Fractional coordinates of all 7 atoms:
C 0.250 0.250 0.240
C 0.750 0.750 0.760
Gd 0.630 0.630 0.305
Gd 0.370 0.370 0.695
Mo 0.826 0.826 0.162
Mo 0.174 0.174 0.838
Si 0.000 0.000 0.500

Values from the calculation:
total magnetic moment = 0.0 μB per cell
calculated total energy = -0.299 Ha/atom



Record 5
MgCoBPb: relaxed, PBE-GGA.

a = 4.415 Å, b = 4.415 Å, c = 4.415 Å
α = 60.00°, β = 60.00°, γ = 60.00°
Fractional coordinates of all 4 atoms:
B 0.000 0.000 0.000
Co 0.250 0.250 0.250
Mg 0.750 0.750 0.750
Pb 0.500 0.500 0.500

Values from the calculation:
energy above the lowest structure with this stoichiometry = 0.00 eV per formula unit
total magnetic moment = 0.2 μB per cell



Record 6
Na2AlCd: relaxed, PBE-GGA.

a = 4.915 Å, b = 5.051 Å, c = 7.286 Å
α = 90.00°, β = 90.00°, γ = 90.00°
Fractional coordinates of all 8 atoms:
Al 0.250 0.500 0.110
Al 0.750 0.500 0.890
Cd 0.250 0.000 0.365
Cd 0.750 0.000 0.635
Na 0.750 0.000 0.124
Na 0.750 0.500 0.374
Na 0.250 0.500 0.626
Na 0.250 0.000 0.876

Values from the calculation:
calculated total energy = -0.066 Ha/atom



Record 7
CsSnTe2AuS: relaxed, PBE-GGA.

a = 7.250 Å, b = 7.250 Å, c = 12.172 Å
α = 90.00°, β = 90.00°, γ = 143.83°
Fractional coordinates of all 12 atoms:
Au 0.938 0.062 0.250
Au 0.062 0.938 0.750
Cs 0.215 0.785 0.250
Cs 0.785 0.215 0.750
S 0.510 0.490 0.250
S 0.490 0.510 0.750
Sn 0.500 0.500 0.000
Sn 0.500 0.500 0.500
Te 0.850 0.150 0.038
Te 0.850 0.150 0.462
Te 0.150 0.850 0.538
Te 0.150 0.850 0.962

Values from the calculation:
calculated total energy = -0.126 Ha/atom



Record 8
USiAs: relaxed, PBE-GGA.

a = 4.495 Å, b = 4.495 Å, c = 4.495 Å
α = 60.00°, β = 60.00°, γ = 60.00°
Fractional coordinates of all 3 atoms:
As 0.250 0.250 0.250
Si 0.000 0.000 0.000
U 0.750 0.750 0.750

Values from the calculation:
total magnetic moment = 1.5 μB per cell
calculated total energy = -0.256 Ha/atom



Record 9
Pr2YMg3Ir2Pt: relaxed, PBE-GGA.

a = 4.102 Å, b = 7.460 Å, c = 7.460 Å
α = 120.00°, β = 90.00°, γ = 90.00°
Fractional coordinates of all 9 atoms:
Ir 0.500 0.661 0.336
Ir 0.500 0.336 0.661
Mg 0.500 0.245 0.004
Mg 0.500 0.004 0.245
Mg 0.500 0.752 0.752
Pr 0.000 0.584 0.000
Pr 0.000 0.000 0.584
Pt 0.000 0.006 0.006
Y 0.000 0.411 0.411

Values from the calculation:
total magnetic moment = 0.0 μB per cell
calculated total energy = -0.208 Ha/atom



Record 10
AgH6IrPd: relaxed, PBE-GGA.

a = 4.556 Å, b = 4.556 Å, c = 4.556 Å
α = 60.00°, β = 60.00°, γ = 60.00°
Fractional coordinates of all 9 atoms:
Ag 0.250 0.250 0.250
H 0.966 0.534 0.534
H 0.534 0.966 0.534
H 0.966 0.966 0.534
H 0.534 0.534 0.966
H 0.966 0.534 0.966
H 0.534 0.966 0.966
Ir 0.500 0.500 0.500
Pd 0.000 0.000 0.000

Values from the calculation:
total magnetic moment = 0.0 μB per cell
calculated total energy = -0.127 Ha/atom



Record 11
PrInCoS3: relaxed, PBE-GGA.

a = 7.161 Å, b = 7.161 Å, c = 10.848 Å
α = 90.00°, β = 90.00°, γ = 147.96°
Each line ends with the local moment (μB).
Fractional coordinates of all 12 atoms:
Co 0.025 0.975 0.250  1.98
Co 0.975 0.025 0.750  1.98
In 0.748 0.252 0.250  0.02
In 0.252 0.748 0.750  0.02
Pr 0.500 0.500 0.000  0.01
Pr 0.500 0.500 0.500  0.01
S 0.130 0.870 0.089  0.11
S 0.435 0.565 0.250  0.14
S 0.130 0.870 0.411  0.11
S 0.870 0.130 0.589  0.11
S 0.565 0.435 0.750  0.14
S 0.870 0.130 0.911  0.11

Values from the calculation:
total magnetic moment = 5.4 μB per cell
calculated total energy = -0.198 Ha/atom



Record 12
Er3Ga2: relaxed, PBE-GGA.

a = 10.959 Å, b = 10.959 Å, c = 10.959 Å
α = 116.78°, β = 116.78°, γ = 95.67°
Fractional coordinates of all 40 atoms:
Er 0.797 0.067 0.136
Er 0.567 0.297 0.136
Er 0.068 0.338 0.136
Er 0.838 0.568 0.136
Er 0.331 0.831 0.163
Er 0.338 0.203 0.270
Er 0.432 0.567 0.270
Er 0.703 0.838 0.270
Er 0.067 0.932 0.270
Er 0.647 0.147 0.500
Er 0.169 0.331 0.500
Er 0.853 0.353 0.500
Er 0.147 0.647 0.500
Er 0.831 0.669 0.500
Er 0.353 0.853 0.500
Er 0.933 0.068 0.730
Er 0.297 0.162 0.730
Er 0.568 0.433 0.730
Er 0.662 0.797 0.730
Er 0.669 0.169 0.837
Er 0.162 0.432 0.864
Er 0.932 0.662 0.864
Er 0.433 0.703 0.864
Er 0.203 0.933 0.864
Ga 0.000 0.000 0.000
Ga 0.250 0.250 0.000
Ga 0.500 0.500 0.000
Ga 0.750 0.750 0.000
Ga 0.524 0.024 0.146
Ga 0.121 0.621 0.146
Ga 0.883 0.383 0.266
Ga 0.383 0.117 0.500
Ga 0.976 0.121 0.500
Ga 0.621 0.476 0.500
Ga 0.379 0.524 0.500
Ga 0.024 0.879 0.500
Ga 0.617 0.883 0.500
Ga 0.117 0.617 0.734
Ga 0.879 0.379 0.854
Ga 0.476 0.976 0.854

Values from the calculation:
total magnetic moment = 0.1 μB per cell
calculated total energy = -0.165 Ha/atom



Please write out number 4 again, unchanged.
Gd2SiMo2C2: relaxed, PBE-GGA.

a = 7.163 Å, b = 7.163 Å, c = 5.838 Å
α = 113.13°, β = 113.13°, γ = 26.85°
Fractional coordinates of all 7 atoms:
C 0.250 0.250 0.240
C 0.750 0.750 0.760
Gd 0.630 0.630 0.305
Gd 0.370 0.370 0.695
Mo 0.826 0.826 0.162
Mo 0.174 0.174 0.838
Si 0.000 0.000 0.500

Values from the calculation:
total magnetic moment = 0.0 μB per cell
calculated total energy = -0.299 Ha/atom